[1]
{
  "formula": "V3Re2W",
  "functional": "PBE",
  "state": "optimized geometry",
  "magmom_total_mub_per_fu": 0.00,
  "formation_energy_mev_per_atom": -283,
  "crystal_system": "tetragonal",
  "space_group": "P4/mmm (123)",
  "lattice": [[3.0515, 0.0000, 0.0000], [0.0000, 3.0515, 0.0000], [0.0000, 0.0000, 9.1834]],
  "species": ["V", "V", "V", "Re", "Re", "W"],
  "fractional_positions": [[0.0000, 0.0000, 0.0000], [0.0000, 0.0000, 0.6696], [0.0000, 0.0000, 0.3304], [0.5000, 0.5000, 0.8347], [0.5000, 0.5000, 0.1653], [0.5000, 0.5000, 0.5000]]
}



[2]
{
  "formula": "KCaTmCl6",
  "functional": "PBE",
  "state": "optimized geometry",
  "formation_energy_uncorrected_ev_per_atom": -2.291,
  "magmom_total_mub_per_fu": 0.00,
  "crystal_system": "trigonal",
  "space_group": "P-31c (163)",
  "lattice": [[-1.2373, -3.0114, 6.2649], [-1.3487, -3.5508, -5.9516], [12.6184, -4.9676, 0.1042]],
  "species": ["K", "K", "Ca", "Ca", "Tm", "Tm", "Cl", "Cl", "Cl", "Cl", "Cl", "Cl", "Cl", "Cl", "Cl", "Cl", "Cl", "Cl"],
  "fractional_positions": [[0.0000, 0.0000, 0.0000], [0.0000, 0.0000, 0.5000], [0.3333, 0.6667, 0.2500], [0.6667, 0.3333, 0.7500], [0.6667, 0.3333, 0.2500], [0.3333, 0.6667, 0.7500], [0.6378, 0.6231, 0.1400], [0.9853, 0.3622, 0.1400], [0.3622, 0.9853, 0.6400], [0.0147, 0.6378, 0.8600], [0.3769, 0.3622, 0.3600], [0.9853, 0.6231, 0.3600], [0.6231, 0.9853, 0.8600], [0.6378, 0.0147, 0.3600], [0.0147, 0.3769, 0.6400], [0.3769, 0.0147, 0.1400], [0.6231, 0.6378, 0.6400], [0.3622, 0.3769, 0.8600]]
}